1.
Computed, not measured: MnHgCl2 after structural relaxation at the PBE level of DFT.

It has space group P4mm (No. 99), with a = 3.328 Å, b = 3.328 Å, c = 8.126 Å, α = 90.00°, β = 90.00° and γ = 90.00°. The asymmetric unit holds Mn at (0.000, 0.000, 0.000), Hg at (0.500, 0.500, 0.748), Cl at (0.000, 0.000, 0.540) and Cl at (0.500, 0.500, 0.160).

Its uncorrected energy is -3.566 eV per atom. For the mass density, the calculation gives 6.0 Mg/m³. The offset from the most stable computed form comes out at 0.5172 eV per atom. The value obtained for the uncorrected formation energy is -0.27 eV per atom.

---

2.
Computed, not measured: MnHgCl2 after structural relaxation at the PBE level of DFT.

It has space group I-4m2 (No. 119), with a = 4.119 Å, b = 4.119 Å, c = 10.681 Å, α = 90.00°, β = 90.00° and γ = 90.00°. The asymmetric unit holds Mn at (0.000, 0.000, 0.000), Hg at (0.000, 0.500, 0.250), Cl at (0.000, 0.000, 0.500) and Cl at (0.000, 0.500, 0.750).

Its uncorrected energy is -3.330 eV per atom. For the mass density, the calculation gives 6.0 Mg/m³. The offset from the most stable computed form comes out at 0.7529 eV per atom. The value obtained for the uncorrected formation energy is -0.04 eV per atom.

---

3.
Computed, not measured: Mn2HgCl6 after structural relaxation at the PBE level of DFT.

It has space group P-1 (No. 2), with a = 4.811 Å, b = 6.630 Å, c = 8.296 Å, α = 101.88°, β = 90.06° and γ = 111.24°. The asymmetric unit holds Mn at (0.217, 0.432, 0.166), Hg at (0.000, 0.000, 0.500), Cl at (0.026, 0.051, 0.219), Cl at (0.315, 0.631, 0.930) and Cl at (0.347, 0.693, 0.414).

Its uncorrected energy is -4.170 eV per atom. For the mass density, the calculation gives 3.6 Mg/m³. The value obtained for the uncorrected formation energy is -0.87 eV per atom.

---

4.
Computed, not measured: MnHgCl2 after structural relaxation at the PBE level of DFT.

It has space group I-42d (No. 122), with a = 6.981 Å, b = 6.981 Å, c = 9.448 Å, α = 90.00°, β = 90.00° and γ = 90.00°. The asymmetric unit holds Mn at (0.000, 0.000, 0.000), Hg at (0.000, 0.000, 0.500) and Cl at (0.073, 0.250, 0.125).

Its uncorrected energy is -3.423 eV per atom. For the mass density, the calculation gives 4.7 Mg/m³. The offset from the most stable computed form comes out at 0.6602 eV per atom. The value obtained for the uncorrected formation energy is -0.13 eV per atom.

---

5.
Computed, not measured: MnHgCl2 after structural relaxation at the PBE level of DFT.

It has space group Pmmm (No. 47), with a = 3.929 Å, b = 4.129 Å, c = 5.674 Å, α = 90.00°, β = 90.00° and γ = 90.00°. The asymmetric unit holds Mn at (0.000, 0.000, 0.000), Hg at (0.500, 0.000, 0.500), Cl at (0.000, 0.500, 0.500) and Cl at (0.500, 0.500, 0.000).

Its uncorrected energy is -3.330 eV per atom. For the mass density, the calculation gives 5.9 Mg/m³. The offset from the most stable computed form comes out at 0.7528 eV per atom. The value obtained for the uncorrected formation energy is -0.04 eV per atom.

---

6.
Computed, not measured: Mn3HgCl8 after structural relaxation at the PBE level of DFT.

It has space group C2/m (No. 12), with a = 13.123 Å, b = 7.562 Å, c = 7.645 Å, α = 90.00°, β = 122.36° and γ = 90.00°. The asymmetric unit holds Mn at (0.000, 0.000, 0.000), Mn at (0.250, 0.250, 0.000), Hg at (0.000, 0.500, 0.000), Cl at (0.019, 0.237, 0.781), Cl at (0.233, 0.000, 0.213) and Cl at (0.244, 0.500, 0.219).

Its uncorrected energy is -4.492 eV per atom. For the mass density, the calculation gives 3.4 Mg/m³. The value obtained for the uncorrected formation energy is -0.94 eV per atom.

---

7.
Computed, not measured: Mn4HgCl after structural relaxation at the PBE level of DFT.

It has space group F-43m (No. 216), with a = 7.716 Å, b = 7.716 Å, c = 7.716 Å, α = 90.00°, β = 90.00° and γ = 90.00°. The asymmetric unit holds Mn at (0.124, 0.124, 0.376), Hg at (0.250, 0.250, 0.750) and Cl at (0.000, 0.000, 0.000).

Its uncorrected energy is -5.831 eV per atom. For the mass density, the calculation gives 6.6 Mg/m³. The value obtained for the uncorrected formation energy is 0.64 eV per atom.

---

8.
Computed, not measured: MnHgCl4 after structural relaxation at the PBE level of DFT.

It has space group F-43m (No. 216), with a = 8.404 Å, b = 8.404 Å, c = 8.404 Å, α = 90.00°, β = 90.00° and γ = 90.00°. The asymmetric unit holds Mn at (0.000, 0.000, 0.000), Hg at (0.250, 0.250, 0.250) and Cl at (0.126, 0.126, 0.626).

Its uncorrected energy is -2.329 eV per atom. For the mass density, the calculation gives 4.4 Mg/m³. The offset from the most stable computed form comes out at 1.2924 eV per atom. The value obtained for the uncorrected formation energy is 0.48 eV per atom.

---

9.
Computed, not measured: MnHgCl2 after structural relaxation at the PBE level of DFT.

It has space group Imm2 (No. 44), with a = 3.454 Å, b = 6.169 Å, c = 9.417 Å, α = 90.00°, β = 90.00° and γ = 90.00°. The asymmetric unit holds Mn at (0.000, 0.000, 0.000), Hg at (0.000, 0.500, 0.737), Cl at (0.000, 0.000, 0.478) and Cl at (0.000, 0.500, 0.323).

Its uncorrected energy is -3.726 eV per atom. For the mass density, the calculation gives 5.4 Mg/m³. The offset from the most stable computed form comes out at 0.3570 eV per atom. The value obtained for the uncorrected formation energy is -0.43 eV per atom.

---

10.
Computed, not measured: MnHgCl2 after structural relaxation at the PBE level of DFT.

It has space group Pm (No. 6), with a = 5.739 Å, b = 3.630 Å, c = 6.262 Å, α = 90.00°, β = 111.32° and γ = 90.00°. The asymmetric unit holds Mn at (0.000, 0.000, 0.000), Hg at (0.694, 0.500, 0.158), Cl at (0.007, 0.500, 0.750) and Cl at (0.352, 0.000, 0.324).

Its uncorrected energy is -3.943 eV per atom. For the mass density, the calculation gives 4.5 Mg/m³. The offset from the most stable computed form comes out at 0.1402 eV per atom. The value obtained for the uncorrected formation energy is -0.65 eV per atom.

---

11.
Computed, not measured: MnHgCl2 after structural relaxation at the PBE level of DFT.

It has space group R3m (No. 160, hexagonal axes), with a = 3.7386 Å, b = 3.7386 Å, c = 24.8101 Å, α = 90.00°, β = 90.00° and γ = 120.00°. The asymmetric unit holds Mn at (0.0000, 0.0000, 0.0000), Hg at (0.0000, 0.0000, 0.7448), Cl at (0.0000, 0.0000, 0.2808) and Cl at (0.0000, 0.0000, 0.4811).

Its uncorrected energy is -3.796 eV per atom. For the mass density, the calculation gives 5.4 Mg/m³. The offset from the most stable computed form comes out at 0.2867 eV per atom. The value obtained for the uncorrected formation energy is -0.51 eV per atom.

---

12.
Computed, not measured: MnHgCl2 after structural relaxation at the PBE level of DFT.

It has space group Cmmm (No. 65), with a = 3.560 Å, b = 6.745 Å, c = 10.651 Å, α = 90.00°, β = 90.00° and γ = 90.00°. The asymmetric unit holds Mn at (0.000, 0.000, 0.000), Hg at (0.000, 0.000, 0.500) and Cl at (0.000, 0.500, 0.154).

Its uncorrected energy is -3.928 eV per atom. For the mass density, the calculation gives 4.2 Mg/m³. The offset from the most stable computed form comes out at 0.1547 eV per atom. The value obtained for the uncorrected formation energy is -0.64 eV per atom.